1.
# ReTc2As

A relaxed ReTc2As crystal (PBE-GGA, the Alexandria database).

```
ReTc2As
1.0
-1.9436 2.0670 -4.0417
-3.7541 -2.5010 -2.0093
1.1352 1.5708 4.5419
Re As Tc
1 1 2
Direct
0.7500 0.2500 0.5000 Re
0.5000 0.5000 0.0000 As
0.0000 0.0000 0.0000 Tc
0.2500 0.7500 0.5000 Tc
```

Values from the calculation:
- Final energy: -36.62 eV per formula unit
- D(E_F): 5.05 states/eV/cell
- E_form: 0.3017 eV per atom

=====

2.
# ReTcAs2

A relaxed ReTcAs2 crystal (PBE-GGA, the Alexandria database).

```
ReTcAs2
1.0
-1.2568 -3.1634 -2.5545
1.7382 -3.0778 -2.3702
-0.0846 -4.0854 3.2716
Re As Tc
1 2 1
Direct
0.7500 0.7500 0.7500 Re
0.0001 0.0001 0.9994 As
0.4999 0.4999 0.5006 As
0.2500 0.2500 0.2500 Tc
```

Values from the calculation:
- Final energy: -31.19 eV per formula unit
- D(E_F): 4.70 states/eV/cell
- Relative energy among the computed polymorphs: 0.90 eV/f.u.
- E_form: 0.2307 eV per atom

=====

3.
# ReTc2As

A relaxed ReTc2As crystal (PBE-GGA, the Alexandria database).

```
ReTc2As
1.0
-1.5212 -1.4156 1.8635
-0.9639 -0.0184 -2.6195
4.6173 -7.1323 -1.6489
Re As Tc
1 1 2
Direct
0.5000 0.5000 0.7500 Re
0.5000 0.5000 0.2500 As
0.0000 0.0000 0.0039 Tc
0.0000 0.0000 0.4961 Tc
```

Values from the calculation:
- Final energy: -36.29 eV per formula unit
- D(E_F): 4.17 states/eV/cell
- E_form: 0.3855 eV per atom

=====

4.
# ReTcAs

A relaxed ReTcAs crystal (PBE-GGA, the Alexandria database).

```
ReTcAs
1.0
4.1834 0.0000 0.0000
2.0917 3.6230 0.0000
2.0917 1.2077 3.4158
Re As Tc
1 1 1
Direct
0.2500 0.2500 0.2500 Re
0.5000 0.5000 0.5000 As
0.0000 0.0000 0.0000 Tc
```

Values from the calculation:
- Final energy: -26.87 eV per formula unit
- D(E_F): 1.25 states/eV/cell
- Relative energy among the computed polymorphs: 0.41 eV/f.u.
- E_form: 0.1971 eV per atom